No. 1
CrBiPdAu: optimized geometry, PBE-GGA.

Properties
Energy relative to the elements, eV per atom: 0.156
ΔE to the lowest computed polymorph, eV/atom: 0.118
Final energy, eV/cell: -42.70
Calculated density, Mg/m³: 11.58
Symmetry: Amm2 (38)

Unit cell a=3.5991 b=3.2420 c=13.8767 alpha=90.00 beta=90.00 gamma=90.00
Atoms (fractional coordinates):
Pd  0.0000  0.0000  0.6352
Au  0.5000  0.5000  0.5271
Cr  0.5000  0.0000  0.2263
Cr  0.5000  0.5000  0.7263
Pd  0.0000  0.5000  0.1352
Bi  0.0000  0.0000  0.8521
Au  0.5000  0.0000  0.0271
Bi  0.0000  0.5000  0.3521

No. 2
CrBiPdAu: optimized geometry, PBE-GGA.

Properties
Energy relative to the elements, eV per atom: 0.237
ΔE to the lowest computed polymorph, eV/atom: 0.199
Final energy, eV/cell: -21.03
Calculated density, Mg/m³: 10.81
Symmetry: P3m1 (156)

Unit cell a=4.2287 b=4.2287 c=5.5970 alpha=90.00 beta=90.00 gamma=120.00
Atoms (fractional coordinates):
Au  0.0000  0.0000  0.9208
Cr  0.6667  0.3333  0.7555
Pd  0.3333  0.6667  0.5774
Bi  0.6667  0.3333  0.2649

No. 3
CrTcBiAu2: optimized geometry, PBE-GGA.

Properties
Energy relative to the elements, eV per atom: 1.086
Final energy, eV/cell: -25.00
Calculated density, Mg/m³: 9.34
Symmetry: P4/mmm (123)

Unit cell a=5.1203 b=5.1203 c=5.1078 alpha=90.00 beta=90.00 gamma=90.00
Atoms (fractional coordinates):
Au  0.0000  0.5000  0.0000
Au  0.5000  0.0000  0.0000
Cr  0.5000  0.5000  0.5000
Tc  0.0000  0.0000  0.0000
Bi  0.0000  0.0000  0.5000

No. 4
CrBi2TeAu: optimized geometry, PBE-GGA.

Properties
E_form (uncorrected), meV per atom: 507
Final energy, eV/cell: -21.27
Calculated density, Mg/m³: 9.65
Symmetry: P4/mmm (123)

Unit cell a=5.2618 b=4.9384 c=5.2618 alpha=90.00 beta=90.00 gamma=90.00
Atoms (fractional coordinates):
Au  0.5000  0.5000  0.5000
Bi  0.0000  0.0000  0.5000
Te  0.0000  0.5000  0.0000
Bi  0.5000  0.0000  0.0000
Cr  0.0000  0.0000  0.0000

No. 5
TlCrBi2Au: optimized geometry, PBE-GGA.

Properties
Energy relative to the elements, eV per atom: 0.373
Final energy, eV/cell: -21.16
Calculated density, Mg/m³: 9.99
Symmetry: P4/mmm (123)

Unit cell a=5.2176 b=5.3183 c=5.2176 alpha=90.00 beta=90.00 gamma=90.00
Atoms (fractional coordinates):
Cr  0.0000  0.0000  0.0000
Tl  0.5000  0.5000  0.5000
Bi  0.5000  0.0000  0.0000
Bi  0.0000  0.0000  0.5000
Au  0.0000  0.5000  0.0000

No. 6
CrBiWAu2: optimized geometry, PBE-GGA.

Properties
Energy relative to the elements, eV per atom: 2.405
Final energy, eV/cell: -20.99
Calculated density, Mg/m³: 9.87
Symmetry: P4/mmm (123)

Unit cell a=5.1898 b=5.2383 c=5.1898 alpha=90.00 beta=90.00 gamma=90.00
Atoms (fractional coordinates):
W  0.0000  0.5000  0.0000
Bi  0.0000  0.0000  0.0000
Au  0.5000  0.0000  0.0000
Au  0.0000  0.0000  0.5000
Cr  0.5000  0.5000  0.5000

No. 7
ZnCrBiAu2: optimized geometry, PBE-GGA.

Properties
Energy relative to the elements, eV per atom: 0.640
Final energy, eV/cell: -18.13
Calculated density, Mg/m³: 9.67
Symmetry: P4/mmm (123)

Unit cell a=4.8453 b=5.2687 c=4.8453 alpha=90.00 beta=90.00 gamma=90.00
Atoms (fractional coordinates):
Zn  0.0000  0.0000  0.0000
Bi  0.0000  0.5000  0.0000
Au  0.5000  0.0000  0.0000
Cr  0.5000  0.5000  0.5000
Au  0.0000  0.0000  0.5000

No. 8
CsBi2Au2: optimized geometry, PBE-GGA.

Properties
Energy relative to the elements, eV per atom: -0.020
Final energy, eV/cell: -30.54
Calculated density, Mg/m³: 10.72
Symmetry: P4/mbm (127)

Unit cell a=9.2543 b=9.2543 c=3.4192 alpha=90.00 beta=90.00 gamma=90.00
Atoms (fractional coordinates):
Bi  0.6306  0.1306  0.0000
Cs  0.0000  0.0000  0.0000
Bi  0.3694  0.8694  0.0000
Cs  0.5000  0.5000  0.0000
Au  0.8372  0.3372  0.5000
Au  0.1628  0.6628  0.5000
Au  0.6628  0.8372  0.5000
Au  0.3372  0.1628  0.5000
Bi  0.1306  0.3694  0.0000
Bi  0.8694  0.6306  0.0000

No. 9
Cs3Bi5Au2: optimized geometry, PBE-GGA.

Properties
Energy relative to the elements, eV per atom: -0.226
Final energy, eV/cell: -61.56
Calculated density, Mg/m³: 7.65
Symmetry: Ibam (72)

Unit cell a=7.8033 b=11.1741 c=11.1741 alpha=63.90 beta=69.56 gamma=69.56
Atoms (fractional coordinates):
Cs  0.3600  0.4126  0.8674
Au  0.3446  0.0065  0.3043
Cs  0.6400  0.5874  0.1326
Au  0.1554  0.6957  0.9935
Bi  0.1296  0.4849  0.2558
Cs  0.1400  0.1326  0.5874
Au  0.8446  0.3043  0.0065
Bi  0.6296  0.2558  0.4849
Bi  0.4787  0.7713  0.7713
Bi  0.3704  0.7442  0.5151
Bi  0.8704  0.5151  0.7442
Bi  0.5213  0.2287  0.2287
Cs  0.8600  0.8674  0.4126
Bi  0.9787  0.7713  0.7713
Cs  0.7500  0.0000  0.0000
Bi  0.0213  0.2287  0.2287
Bi  0.7500  0.5000  0.5000
Au  0.6554  0.9935  0.6957
Bi  0.2500  0.5000  0.5000
Cs  0.2500  0.0000  0.0000

No. 10
CsBi2Au: optimized geometry, PBE-GGA.

Properties
Energy relative to the elements, eV per atom: -0.272
ΔE to the lowest computed polymorph, eV/atom: 0.000
Final energy, eV/cell: -12.98
Calculated density, Mg/m³: 7.66
Symmetry: P2/m (10)

Unit cell a=4.5626 b=6.8789 c=5.4840 alpha=109.54 beta=90.00 gamma=90.00
Atoms (fractional coordinates):
Au  0.5000  0.0000  0.5000
Bi  0.0000  0.1357  0.2877
Bi  0.0000  0.8643  0.7123
Cs  0.5000  0.5000  0.0000

> Among the records above, which one has the highest calculated density?

number 1